This record from Alexandria describes crystalline CsHCl2 at its relaxed geometry. The functional is PBE.

```
data_CsHCl2
_cell_length_a 3.9480
_cell_length_b 3.9480
_cell_length_c 25.4745
_cell_angle_alpha 90.00
_cell_angle_beta 90.00
_cell_angle_gamma 120.00
_space_group_name_H-M_alt 'R -3 m'
_space_group_IT_number 166
_space_group_name_Hall '-R 3 2"'
loop_
_atom_site_label
_atom_site_type_symbol
_atom_site_fract_x
_atom_site_fract_y
_atom_site_fract_z
Cs1 Cs 0.0000 0.0000 0.0000
H1 H 0.0000 0.0000 0.5000
Cl1 Cl 0.0000 0.0000 0.1195
```

Results
**Offset from the most stable computed form**: 1.300 eV per atom
**VASP energy**: -1.972 eV/atom